No. 1
# SrDyCu2Ge2 PBE optimized geometry
data_SrDyCu2Ge2
_cell_length_a 4.3343
_cell_length_b 4.3343
_cell_length_c 7.8273
_cell_angle_alpha 90.00
_cell_angle_beta 90.00
_cell_angle_gamma 120.00
_symmetry_space_group_name_H-M 'P 1'
_symmetry_Int_Tables_number 1
_symmetry_space_group_name_Hall 'P 1'
loop_
_atom_site_label
_atom_site_fract_x
_atom_site_fract_y
_atom_site_fract_z
_atom_site_occupancy
Sr1 0.0000 0.0000 0.0000 1
Dy1 0.0000 0.0000 0.5000 1
Cu1 0.3333 0.6667 0.7067 1
Cu2 0.6667 0.3333 0.2933 1
Ge1 0.3333 0.6667 0.2867 1
Ge2 0.6667 0.3333 0.7133 1
# - Space group: No. 164
# - Calculated total energy: -4.516 eV per atom
# - Formation enthalpy at 0 K: -0.56 eV per atom

---

No. 2
# LiBSe2 PBE optimized geometry
data_LiBSe2
_cell_length_a 6.2658
_cell_length_b 6.2658
_cell_length_c 5.6137
_cell_angle_alpha 110.51
_cell_angle_beta 110.51
_cell_angle_gamma 97.85
_symmetry_space_group_name_H-M 'P 1'
_symmetry_Int_Tables_number 1
_symmetry_space_group_name_Hall 'P 1'
loop_
_atom_site_label
_atom_site_fract_x
_atom_site_fract_y
_atom_site_fract_z
_atom_site_occupancy
Li1 0.1785 0.8214 0.7500 1
Li2 0.8214 0.1785 0.2500 1
B1 0.4992 0.5008 0.2500 1
B2 0.5008 0.4992 0.7500 1
Se1 0.2293 0.4595 0.3790 1
Se2 0.4595 0.2293 0.8790 1
Se3 0.5405 0.7707 0.1210 1
Se4 0.7707 0.5405 0.6210 1
# - Energy relative to the elements, uncorrected: -0.51 eV/atom
# - Space group: No. 15
# - Calculated total energy: -4.398 eV per atom

---

No. 3
# Nd2PbAu6 PBE optimized geometry
data_Nd2PbAu6
_cell_length_a 6.6623
_cell_length_b 6.6623
_cell_length_c 5.4555
_cell_angle_alpha 90.01
_cell_angle_beta 90.01
_cell_angle_gamma 60.00
_symmetry_space_group_name_H-M 'P 1'
_symmetry_Int_Tables_number 1
_symmetry_space_group_name_Hall 'P 1'
loop_
_atom_site_label
_atom_site_fract_x
_atom_site_fract_y
_atom_site_fract_z
_atom_site_occupancy
Nd1 0.1664 0.1664 0.3303 1
Nd2 0.8336 0.8336 0.6697 1
Pb1 0.5000 0.5000 0.5000 1
Au1 0.1177 0.6916 0.1669 1
Au2 0.3084 0.8823 0.8331 1
Au3 0.3088 0.3088 0.8286 1
Au4 0.6912 0.6912 0.1714 1
Au5 0.6916 0.1177 0.1669 1
Au6 0.8823 0.3084 0.8331 1
# - Space group: No. 12
# - Calculated total energy: -4.198 eV per atom
# - Formation enthalpy at 0 K: -0.54 eV per atom

---

No. 4
# SbSe2NF PBE optimized geometry
data_SbSe2NF
_cell_length_a 5.4170
_cell_length_b 5.4170
_cell_length_c 3.9769
_cell_angle_alpha 90.00
_cell_angle_beta 90.00
_cell_angle_gamma 90.00
_symmetry_space_group_name_H-M 'P 1'
_symmetry_Int_Tables_number 1
_symmetry_space_group_name_Hall 'P 1'
loop_
_atom_site_label
_atom_site_fract_x
_atom_site_fract_y
_atom_site_fract_z
_atom_site_occupancy
Sb1 0.0000 0.0000 0.0000 1
Se1 0.0000 0.5000 0.0000 1
Se2 0.5000 0.0000 0.0000 1
N1 0.0000 0.0000 0.5000 1
F1 0.5000 0.5000 0.5000 1
# - Energy relative to the elements, uncorrected: 0.87 eV/atom
# - Space group: No. 123
# - Calculated total energy: -3.388 eV per atom

---

No. 5
# CaTl2Cd PBE optimized geometry
data_CaTl2Cd
_cell_length_a 11.6698
_cell_length_b 11.6698
_cell_length_c 11.6698
_cell_angle_alpha 156.81
_cell_angle_beta 156.81
_cell_angle_gamma 33.03
_symmetry_space_group_name_H-M 'P 1'
_symmetry_Int_Tables_number 1
_symmetry_space_group_name_Hall 'P 1'
loop_
_atom_site_label
_atom_site_fract_x
_atom_site_fract_y
_atom_site_fract_z
_atom_site_occupancy
Ca1 0.0000 0.0000 0.0000 1
Ca2 0.7500 0.2500 0.5000 1
Tl1 0.1358 0.6250 0.0108 1
Tl2 0.3750 0.3858 0.5108 1
Tl3 0.6142 0.1250 0.9892 1
Tl4 0.8750 0.8642 0.4892 1
Cd1 0.2500 0.7500 0.5000 1
Cd2 0.5000 0.5000 0.0000 1
# - Space group: No. 122
# - Calculated total energy: -1.996 eV per atom
# - Formation enthalpy at 0 K: -0.08 eV per atom

---

No. 6
# TeC3Cl PBE optimized geometry
data_TeC3Cl
_cell_length_a 4.3469
_cell_length_b 4.3469
_cell_length_c 4.3469
_cell_angle_alpha 90.00
_cell_angle_beta 90.00
_cell_angle_gamma 90.00
_symmetry_space_group_name_H-M 'P 1'
_symmetry_Int_Tables_number 1
_symmetry_space_group_name_Hall 'P 1'
loop_
_atom_site_label
_atom_site_fract_x
_atom_site_fract_y
_atom_site_fract_z
_atom_site_occupancy
Te1 0.0000 0.0000 0.0000 1
C1 0.0000 0.0000 0.5000 1
C2 0.0000 0.5000 0.0000 1
C3 0.5000 0.0000 0.0000 1
Cl1 0.5000 0.5000 0.5000 1
# - Energy relative to the elements, uncorrected: 3.17 eV/atom
# - Space group: No. 221
# - Calculated total energy: -3.359 eV per atom

---

No. 7
# ScGeIN2 PBE optimized geometry
data_ScGeIN2
_cell_length_a 4.2042
_cell_length_b 4.2042
_cell_length_c 5.8247
_cell_angle_alpha 90.00
_cell_angle_beta 90.00
_cell_angle_gamma 90.00
_symmetry_space_group_name_H-M 'P 1'
_symmetry_Int_Tables_number 1
_symmetry_space_group_name_Hall 'P 1'
loop_
_atom_site_label
_atom_site_fract_x
_atom_site_fract_y
_atom_site_fract_z
_atom_site_occupancy
Sc1 0.0000 0.0000 0.0000 1
Ge1 0.5000 0.5000 0.5000 1
I1 0.0000 0.0000 0.5000 1
N1 0.0000 0.5000 0.0000 1
N2 0.5000 0.0000 0.0000 1
# - Energy relative to the elements, uncorrected: 0.71 eV/atom
# - Space group: No. 123
# - Calculated total energy: -5.118 eV per atom

---

No. 8
# SnAsAuSe2 PBE optimized geometry
data_SnAsAuSe2
_cell_length_a 5.2471
_cell_length_b 5.2471
_cell_length_c 4.8512
_cell_angle_alpha 90.00
_cell_angle_beta 90.00
_cell_angle_gamma 90.00
_symmetry_space_group_name_H-M 'P 1'
_symmetry_Int_Tables_number 1
_symmetry_space_group_name_Hall 'P 1'
loop_
_atom_site_label
_atom_site_fract_x
_atom_site_fract_y
_atom_site_fract_z
_atom_site_occupancy
Sn1 0.0000 0.0000 0.0000 1
As1 0.5000 0.5000 0.0000 1
Au1 0.5000 0.5000 0.5000 1
Se1 0.0000 0.5000 0.5000 1
Se2 0.5000 0.0000 0.5000 1
# - Energy relative to the elements, uncorrected: 0.43 eV/atom
# - Space group: No. 123
# - Calculated total energy: -3.351 eV per atom

---

No. 9
# Y2ZnSbMo PBE optimized geometry
data_Y2ZnSbMo
_cell_length_a 5.7029
_cell_length_b 5.7029
_cell_length_c 4.8600
_cell_angle_alpha 90.00
_cell_angle_beta 90.00
_cell_angle_gamma 90.00
_symmetry_space_group_name_H-M 'P 1'
_symmetry_Int_Tables_number 1
_symmetry_space_group_name_Hall 'P 1'
loop_
_atom_site_label
_atom_site_fract_x
_atom_site_fract_y
_atom_site_fract_z
_atom_site_occupancy
Y1 0.0000 0.5000 0.0000 1
Y2 0.5000 0.0000 0.0000 1
Zn1 0.0000 0.0000 0.5000 1
Sb1 0.0000 0.0000 0.0000 1
Mo1 0.5000 0.5000 0.5000 1
# - Energy relative to the elements, uncorrected: 0.87 eV/atom
# - Space group: No. 123
# - Calculated total energy: -4.962 eV per atom

---

No. 10
# LiCa3F7 PBE optimized geometry
data_LiCa3F7
_cell_length_a 6.5399
_cell_length_b 6.5399
_cell_length_c 7.5472
_cell_angle_alpha 90.00
_cell_angle_beta 90.00
_cell_angle_gamma 108.16
_symmetry_space_group_name_H-M 'P 1'
_symmetry_Int_Tables_number 1
_symmetry_space_group_name_Hall 'P 1'
loop_
_atom_site_label
_atom_site_fract_x
_atom_site_fract_y
_atom_site_fract_z
_atom_site_occupancy
Li1 0.0048 0.0048 0.0000 1
Li2 0.9952 0.9952 0.5000 1
Ca1 0.0023 0.5459 0.7500 1
Ca2 0.4541 0.9977 0.7500 1
Ca3 0.4987 0.4987 0.5000 1
Ca4 0.5013 0.5013 0.0000 1
Ca5 0.5459 0.0023 0.2500 1
Ca6 0.9977 0.4541 0.2500 1
F1 0.0864 0.9136 0.7500 1
F2 0.1064 0.3552 0.9751 1
F3 0.1069 0.3567 0.5243 1
F4 0.3552 0.1064 0.0249 1
F5 0.3567 0.1069 0.4757 1
F6 0.3650 0.6350 0.2500 1
F7 0.3689 0.6311 0.7500 1
F8 0.6311 0.3689 0.2500 1
F9 0.6350 0.3650 0.7500 1
F10 0.6433 0.8931 0.9757 1
F11 0.6448 0.8936 0.5249 1
F12 0.8931 0.6433 0.0243 1
F13 0.8936 0.6448 0.4751 1
F14 0.9136 0.0864 0.2500 1
# - Energy relative to the elements, uncorrected: -3.69 eV/atom
# - Space group: No. 20
# - Calculated total energy: -5.603 eV per atom

---

No. 11
# Pr12Tm7Sc PBE optimized geometry
data_Pr12Tm7Sc
_cell_length_a 9.4141
_cell_length_b 9.4141
_cell_length_c 9.4141
_cell_angle_alpha 107.84
_cell_angle_beta 107.84
_cell_angle_gamma 107.84
_symmetry_space_group_name_H-M 'P 1'
_symmetry_Int_Tables_number 1
_symmetry_space_group_name_Hall 'P 1'
loop_
_atom_site_label
_atom_site_fract_x
_atom_site_fract_y
_atom_site_fract_z
_atom_site_occupancy
Pr1 0.0586 0.2947 0.4047 1
Pr2 0.2167 0.6772 0.3817 1
Pr3 0.2947 0.4047 0.0586 1
Pr4 0.3228 0.6183 0.7833 1
Pr5 0.3817 0.2167 0.6772 1
Pr6 0.4047 0.0586 0.2947 1
Pr7 0.5953 0.9414 0.7053 1
Pr8 0.6183 0.7833 0.3228 1
Pr9 0.6772 0.3817 0.2167 1
Pr10 0.7053 0.5953 0.9414 1
Pr11 0.7833 0.3228 0.6183 1
Pr12 0.9414 0.7053 0.5953 1
Tm1 0.0050 0.8995 0.3134 1
Tm2 0.1005 0.6866 0.9950 1
Tm3 0.3134 0.0050 0.8995 1
Tm4 0.5000 0.5000 0.5000 1
Tm5 0.6866 0.9950 0.1005 1
Tm6 0.8995 0.3134 0.0050 1
Tm7 0.9950 0.1005 0.6866 1
Sc1 0.0000 0.0000 0.0000 1
# - Space group: No. 148
# - Calculated total energy: -4.602 eV per atom
# - Formation enthalpy at 0 K: 0.15 eV per atom

---

No. 12
# Y3BiC PBE optimized geometry
data_Y3BiC
_cell_length_a 6.8527
_cell_length_b 6.8527
_cell_length_c 11.0677
_cell_angle_alpha 101.11
_cell_angle_beta 101.11
_cell_angle_gamma 29.94
_symmetry_space_group_name_H-M 'P 1'
_symmetry_Int_Tables_number 1
_symmetry_space_group_name_Hall 'P 1'
loop_
_atom_site_label
_atom_site_fract_x
_atom_site_fract_y
_atom_site_fract_z
_atom_site_occupancy
Y1 0.0512 0.0512 0.3876 1
Y2 0.2070 0.2070 0.6623 1
Y3 0.4081 0.4081 0.1343 1
Y4 0.5919 0.5919 0.8657 1
Y5 0.7930 0.7930 0.3377 1
Y6 0.9488 0.9488 0.6124 1
Bi1 0.1332 0.1332 0.1299 1
Bi2 0.8668 0.8668 0.8701 1
C1 0.4226 0.4226 0.3594 1
C2 0.5774 0.5774 0.6406 1
# - Space group: No. 12
# - Calculated total energy: -6.832 eV per atom
# - Formation enthalpy at 0 K: -0.33 eV per atom

---

No. 13
# NaSmTl2Cl6 PBE optimized geometry
data_NaSmTl2Cl6
_cell_length_a 7.4136
_cell_length_b 7.7753
_cell_length_c 12.9209
_cell_angle_alpha 90.00
_cell_angle_beta 124.40
_cell_angle_gamma 90.00
_symmetry_space_group_name_H-M 'P 1'
_symmetry_Int_Tables_number 1
_symmetry_space_group_name_Hall 'P 1'
loop_
_atom_site_label
_atom_site_fract_x
_atom_site_fract_y
_atom_site_fract_z
_atom_site_occupancy
Na1 0.0000 0.0000 0.0000 1
Na2 0.0000 0.5000 0.5000 1
Sm1 0.5000 0.0000 0.5000 1
Sm2 0.5000 0.5000 0.0000 1
Tl1 0.2266 0.0681 0.7473 1
Tl2 0.2266 0.4319 0.2473 1
Tl3 0.7734 0.5681 0.7527 1
Tl4 0.7734 0.9319 0.2527 1
Cl1 0.1567 0.1932 0.4534 1
Cl2 0.1567 0.3068 0.9534 1
Cl3 0.2593 0.7100 0.4498 1
Cl4 0.2593 0.7900 0.9498 1
Cl5 0.3526 0.0265 0.2548 1
Cl6 0.3526 0.4735 0.7548 1
Cl7 0.6474 0.5265 0.2452 1
Cl8 0.6474 0.9735 0.7452 1
Cl9 0.7407 0.2100 0.0502 1
Cl10 0.7407 0.2900 0.5502 1
Cl11 0.8433 0.6932 0.0466 1
Cl12 0.8433 0.8068 0.5466 1
# - Energy relative to the elements, uncorrected: -1.71 eV/atom
# - Space group: No. 14
# - Calculated total energy: -3.891 eV per atom

---

No. 14
# Pu5Ge3 PBE optimized geometry
data_Pu5Ge3
_cell_length_a 7.8861
_cell_length_b 7.8861
_cell_length_c 3.4489
_cell_angle_alpha 90.00
_cell_angle_beta 90.00
_cell_angle_gamma 120.00
_symmetry_space_group_name_H-M 'P 1'
_symmetry_Int_Tables_number 1
_symmetry_space_group_name_Hall 'P 1'
loop_
_atom_site_label
_atom_site_fract_x
_atom_site_fract_y
_atom_site_fract_z
_atom_site_occupancy
Pu1 0.0000 0.7480 0.0000 1
Pu2 0.2520 0.2520 0.0000 1
Pu3 0.3333 0.6667 0.0000 1
Pu4 0.6667 0.3333 0.0000 1
Pu5 0.7480 0.0000 0.0000 1
Ge1 0.0000 0.3793 0.5000 1
Ge2 0.3793 0.0000 0.5000 1
Ge3 0.6207 0.6207 0.5000 1
# - Space group: No. 189
# - Calculated total energy: -11.018 eV per atom
# - Formation enthalpy at 0 K: -0.33 eV per atom